First-principles (PBE-GGA) data for an optimized crystal structure of K2SrCa, as listed in Alexandria via LeMat-Bulk.

Unit cell a=8.4182 b=8.4182 c=8.4182 alpha=148.97 beta=131.35 gamma=58.83
Closest atoms and distances in Å follow each position.
Fractional positions:
Sr 0.7500 0.2500 0.5000  4 Ca 4.13, 4 K 4.40, 2 Sr 4.50
K 0.0081 0.0081 0.0000  6 K 4.14-4.50, 2 Ca 4.20, 2 Sr 4.40
K 0.4919 0.4919 0.0000  6 K 4.14-4.50, 2 Ca 4.20, 2 Sr 4.40
Ca 0.2500 0.7500 0.5000  4 Sr 4.13, 4 K 4.20, 2 Ca 4.50

Output
The raw total energy is -1.335 eV per atom. The formation energy is 0.54 eV/f.u. As for the space-group type: Immm, No. 71. The total magnetization comes out at 0.000 μB/f.u.


First-principles (PBE-GGA) data for an optimized crystal structure of La2CoSeN, as listed in Alexandria via LeMat-Bulk.

Unit cell a=5.2682 b=5.2682 c=3.6166 alpha=90.00 beta=90.00 gamma=90.00
Closest atoms and distances in Å follow each position.
Fractional positions:
La 0.0000 0.5000 0.0000  2 N 2.63
La 0.5000 0.0000 0.0000  2 N 2.63
Se 0.5000 0.5000 0.5000  8 La 3.20
N 0.0000 0.0000 0.0000  2 Co 1.81
Co 0.0000 0.0000 0.5000  2 N 1.81

Output
As for the formation energy (no corrections): -1.184 eV per atom. The raw total energy is -6.938 eV per atom. As for the space-group type: P4/mmm, No. 123. The total magnetization comes out at 0.253 μB/f.u.


First-principles (PBE-GGA) data for an optimized crystal structure of Cs2PuInBr5, as listed in Alexandria via LeMat-Bulk.

Unit cell a=5.7956 b=5.7956 c=12.5438 alpha=90.00 beta=90.00 gamma=90.00
Closest atoms and distances in Å follow each position.
Fractional positions:
Cs 0.5000 0.5000 0.6961  9 Br 3.80-4.21
In 0.0000 0.0000 0.5000  4 Br 2.90
Br 0.5000 0.0000 0.5000  2 In 2.90
Br 0.5000 0.5000 0.0000  2 Cs 3.81, 4 Pu 4.10
Br 0.0000 0.5000 0.5000  2 In 2.90
Br 0.0000 0.0000 0.7721  1 Pu 2.86
Cs 0.5000 0.5000 0.3039  9 Br 3.80-4.21
Pu 0.0000 0.0000 0.0000  2 Br 2.86
Br 0.0000 0.0000 0.2279  1 Pu 2.86

Output
As for the formation energy (no corrections): -1.175 eV per atom. The raw total energy is -4.191 eV per atom. As for the space-group type: P4/mmm, No. 123. The total magnetization comes out at 6.124 μB/f.u.


First-principles (PBE-GGA) data for an optimized crystal structure of LaZrSb, as listed in Alexandria via LeMat-Bulk.

Unit cell a=4.4301 b=4.4301 c=8.6539 alpha=90.00 beta=90.00 gamma=90.00
Closest atoms and distances in Å follow each position.
Fractional positions:
Sb 0.5000 0.0000 0.7434  4 Zr 3.06, 4 La 3.28
Sb 0.0000 0.5000 0.2566  4 Zr 3.06, 4 La 3.28
Zr 0.0000 0.0000 0.5000  4 Sb 3.06, 4 Zr 3.13
La 0.0000 0.5000 0.8539  5 Sb 3.28-3.49
La 0.5000 0.0000 0.1461  5 Sb 3.28-3.49
Zr 0.5000 0.5000 0.5000  4 Sb 3.06, 4 Zr 3.13

Output
As for the formation energy (no corrections): -0.828 eV per atom. The raw total energy is -6.694 eV per atom. As for the space-group type: P4/nmm, No. 129. The total magnetization comes out at 0.378 μB/f.u.